First-principles (PBE) data for a relaxed structure of CsAuI2Cl, as listed in OQMD via LeMat-Bulk.

Unit cell a=8.3268 b=8.3268 c=11.6066 alpha=90.00 beta=90.00 gamma=90.00
Closest atoms and distances in Å follow each position.
Space group I4/mmm (No. 139)
Inequivalent atoms, fractional coordinates:
Cs 0.0000 0.5000 0.2500 (multiplicity 4)  8 I 4.14, 4 Cl 4.20
Au 0.0000 0.0000 0.0000 (multiplicity 2)  4 I 2.70
Au 0.0000 0.0000 0.5000 (multiplicity 2)  2 Cl 2.33
I 0.2295 0.2295 0.0000 (multiplicity 8)  1 Au 2.70
Cl 0.0000 0.0000 0.2992 (multiplicity 4)  1 Au 2.33

ρ   5.110 g cm⁻³
Calculated total energy   -52.82 eV/cell